# 1
# SiGeP2Cl | Alexandria | PBEsol | relaxed
# **Formation energy (no corrections)**: 0.810 eV per atom
# **ρ**: 3.21 g/cm3
data_SiGeP2Cl
_cell_length_a 4.694
_cell_length_b 4.694
_cell_length_c 4.650
_cell_angle_alpha 90.00
_cell_angle_beta 90.00
_cell_angle_gamma 90.00
_space_group_name_H-M_alt 'P 4/m m m'
_space_group_IT_number 123
_space_group_name_Hall '-P 4 2'
loop_
_atom_site_label
_atom_site_fract_x
_atom_site_fract_y
_atom_site_fract_z
Si1 0.000 0.000 0.000
Ge1 0.500 0.500 0.500
P1 0.000 0.500 0.500
Cl1 0.500 0.500 0.000

=====

# 2
# SrGeP2Cl | Alexandria | PBEsol | relaxed
# **Formation energy (no corrections)**: 0.739 eV per atom
# **ρ**: 2.81 g/cm3
data_SrGeP2Cl
_cell_length_a 5.409
_cell_length_b 5.409
_cell_length_c 5.206
_cell_angle_alpha 90.00
_cell_angle_beta 90.00
_cell_angle_gamma 90.00
_space_group_name_H-M_alt 'P 4/m m m'
_space_group_IT_number 123
_space_group_name_Hall '-P 4 2'
loop_
_atom_site_label
_atom_site_fract_x
_atom_site_fract_y
_atom_site_fract_z
Sr1 0.000 0.000 0.000
Ge1 0.500 0.500 0.500
P1 0.000 0.500 0.000
Cl1 0.000 0.000 0.500

=====

# 3
# TcGeP2Cl | Alexandria | PBEsol | relaxed
# **Formation energy (no corrections)**: 1.207 eV per atom
# **ρ**: 4.47 g/cm3
data_TcGeP2Cl
_cell_length_a 4.659
_cell_length_b 4.659
_cell_length_c 4.586
_cell_angle_alpha 90.00
_cell_angle_beta 90.00
_cell_angle_gamma 90.00
_space_group_name_H-M_alt 'P 4/m m m'
_space_group_IT_number 123
_space_group_name_Hall '-P 4 2'
loop_
_atom_site_label
_atom_site_fract_x
_atom_site_fract_y
_atom_site_fract_z
Tc1 0.000 0.000 0.000
Ge1 0.500 0.500 0.500
P1 0.000 0.500 0.500
Cl1 0.500 0.500 0.000